#i
Below is a geometry-optimized ErHfTh2 structure, with properties calculated at the GGA-PBE level.

a = 3.461 Å, b = 3.461 Å, c = 11.401 Å
α = 81.27°, β = 81.27°, γ = 60.00°
Positions (direct):
Er: 0.498 0.498 0.505
Th: 0.080 0.080 0.759
Th: 0.253 0.253 0.240
Hf: 0.668 0.668 0.995

***

#ii
Below is a geometry-optimized ErHfTh2 structure, with properties calculated at the GGA-PBE level.

a = 5.464 Å, b = 5.464 Å, c = 5.464 Å
α = 60.00°, β = 60.00°, γ = 60.00°
Positions (direct):
Hf: 0.500 0.500 0.500
Er: 0.000 0.000 0.000
Th: 0.250 0.250 0.250
Th: 0.750 0.750 0.750

***

Quick one: least stable of them? #ii

***

#i
Below is a geometry-optimized ErHfTh structure, with properties calculated at the GGA-PBE level.

a = 3.354 Å, b = 3.354 Å, c = 7.879 Å
α = 102.29°, β = 102.29°, γ = 90.00°
Positions (direct):
Er: 0.323 0.323 0.645
Hf: 0.669 0.669 0.338
Th: 0.008 0.008 0.017

***

#ii
Below is a geometry-optimized ErHfTh structure, with properties calculated at the GGA-PBE level.

a = 3.407 Å, b = 5.369 Å, c = 5.369 Å
α = 120.00°, β = 90.00°, γ = 90.00°
Positions (direct):
Th: 0.667 0.667 0.333
Er: 0.165 0.000 0.000
Hf: 0.168 0.333 0.667

***

#iii
Below is a geometry-optimized ErHfTh structure, with properties calculated at the GGA-PBE level.

a = 4.849 Å, b = 3.362 Å, c = 10.539 Å
α = 99.08°, β = 90.00°, γ = 90.00°
Positions (direct):
Er: 0.847 0.631 0.681
Er: 0.347 0.359 0.142
Th: 0.347 0.045 0.507
Th: 0.847 0.945 0.317
Hf: 0.347 0.211 0.842
Hf: 0.847 0.779 0.981

***

Quick one: least stable of them? #iii

***

#i
Below is a geometry-optimized ErHfTi structure, with properties calculated at the GGA-PBE level.

a = 3.189 Å, b = 3.189 Å, c = 7.800 Å
α = 90.00°, β = 90.00°, γ = 120.00°
Positions (direct):
Hf: 0.333 0.667 0.644
Ti: 0.667 0.333 0.348
Er: 0.000 0.000 0.009

***

#ii
Below is a geometry-optimized ErHfTi structure, with properties calculated at the GGA-PBE level.

a = 4.116 Å, b = 3.252 Å, c = 10.750 Å
α = 81.30°, β = 90.00°, γ = 90.00°
Positions (direct):
Er: 0.750 0.562 0.876
Er: 0.250 0.438 0.124
Ti: 0.750 0.855 0.290
Ti: 0.250 0.145 0.710
Hf: 0.750 0.711 0.579
Hf: 0.250 0.289 0.421

***

Quick one: least stable of them? #i

***

#i
Below is a geometry-optimized ErHfTl2 structure, with properties calculated at the GGA-PBE level.

a = 4.298 Å, b = 4.773 Å, c = 4.773 Å
α = 90.00°, β = 90.00°, γ = 90.00°
Positions (direct):
Tl: 0.000 0.500 0.000
Tl: 0.000 0.000 0.500
Er: 0.500 0.500 0.500
Hf: 0.500 0.000 0.000

***

#ii
Below is a geometry-optimized ErHfTl2 structure, with properties calculated at the GGA-PBE level.

a = 3.306 Å, b = 3.306 Å, c = 8.872 Å
α = 90.00°, β = 90.00°, γ = 90.00°
Last column: magnetic moment on the atom in μB.
Positions (direct):
Er: 0.500 0.500 0.500  0.36
Hf: 0.500 0.500 0.000  0.01
Tl: 0.000 0.000 0.241  0.00
Tl: 0.000 0.000 0.759  0.00

***

Quick one: least stable of them? #i

***

#i
Below is a geometry-optimized ErTm2Hf structure, with properties calculated at the GGA-PBE level.

a = 3.301 Å, b = 3.301 Å, c = 12.026 Å
α = 82.11°, β = 82.11°, γ = 60.00°
Positions (direct):
Tm: 0.087 0.087 0.738
Tm: 0.913 0.913 0.262
Hf: 0.000 0.000 0.000
Er: 0.500 0.500 0.500

***

#ii
Below is a geometry-optimized ErTm2Hf structure, with properties calculated at the GGA-PBE level.

a = 3.451 Å, b = 3.451 Å, c = 10.852 Å
α = 90.00°, β = 90.00°, γ = 60.00°
Last column: magnetic moment on the atom in μB.
Positions (direct):
Tm: 0.297 0.699 0.215  0.04
Tm: 0.296 0.699 0.685  0.04
Hf: 0.630 0.032 0.450  0.01
Er: 0.630 0.032 0.950  0.17

***

Quick one: least stable of them? #i

***

#i
Below is a geometry-optimized ErTm2Hf structure, with properties calculated at the GGA-PBE level.

a = 4.792 Å, b = 4.788 Å, c = 4.788 Å
α = 90.00°, β = 90.00°, γ = 90.00°
Positions (direct):
Tm: 0.000 0.500 0.000
Tm: 0.000 0.000 0.500
Hf: 0.500 0.000 0.000
Er: 0.500 0.500 0.500

***

#ii
Below is a geometry-optimized ErTm2Hf structure, with properties calculated at the GGA-PBE level.

a = 3.942 Å, b = 3.942 Å, c = 7.199 Å
α = 90.00°, β = 90.00°, γ = 90.00°
Positions (direct):
Hf: 0.500 0.500 0.000
Tm: 0.000 0.000 0.775
Tm: 0.000 0.000 0.225
Er: 0.500 0.500 0.500

***

#iii
Below is a geometry-optimized ErTm2Hf structure, with properties calculated at the GGA-PBE level.

a = 3.408 Å, b = 3.408 Å, c = 11.196 Å
α = 81.25°, β = 81.25°, γ = 60.00°
Positions (direct):
Tm: 0.078 0.078 0.765
Tm: 0.255 0.255 0.236
Hf: 0.666 0.666 0.001
Er: 0.500 0.500 0.499

***

Quick one: least stable of them? #ii

***

#i
Below is a geometry-optimized Er2TmHf structure, with properties calculated at the GGA-PBE level.

a = 3.412 Å, b = 3.412 Å, c = 11.216 Å
α = 81.25°, β = 81.25°, γ = 60.00°
Positions (direct):
Er: 0.079 0.079 0.764
Er: 0.255 0.255 0.236
Hf: 0.666 0.666 0.001
Tm: 0.500 0.500 0.499

***

#ii
Below is a geometry-optimized Er2TmHf structure, with properties calculated at the GGA-PBE level.

a = 3.960 Å, b = 3.960 Å, c = 7.145 Å
α = 90.00°, β = 90.00°, γ = 90.00°
Positions (direct):
Er: 0.000 0.000 0.726
Er: 0.000 0.000 0.274
Tm: 0.500 0.500 0.000
Hf: 0.500 0.500 0.500

***

#iii
Below is a geometry-optimized Er2TmHf structure, with properties calculated at the GGA-PBE level.

a = 4.791 Å, b = 4.798 Å, c = 4.798 Å
α = 90.00°, β = 90.00°, γ = 90.00°
Positions (direct):
Tm: 0.500 0.500 0.500
Hf: 0.500 0.000 0.000
Er: 0.000 0.500 0.000
Er: 0.000 0.000 0.500

***

#iv
Below is a geometry-optimized Er2TmHf structure, with properties calculated at the GGA-PBE level.

a = 3.306 Å, b = 3.306 Å, c = 12.028 Å
α = 82.10°, β = 82.10°, γ = 60.00°
Positions (direct):
Tm: 0.500 0.500 0.500
Er: 0.087 0.087 0.738
Er: 0.913 0.913 0.262
Hf: 0.000 0.000 0.000

***

Quick one: least stable of them? #iv

***

#i
Below is a geometry-optimized ErHf2V structure, with properties calculated at the GGA-PBE level.

a = 3.151 Å, b = 3.151 Å, c = 10.707 Å
α = 81.54°, β = 81.54°, γ = 60.00°
Last column: magnetic moment on the atom in μB.
Positions (direct):
Er: 0.000 0.000 0.000  -0.07
Hf: 0.901 0.901 0.298  0.01
Hf: 0.099 0.099 0.702  0.01
V: 0.500 0.500 0.500  1.02

***

#ii
Below is a geometry-optimized ErHf2V structure, with properties calculated at the GGA-PBE level.

a = 3.380 Å, b = 3.380 Å, c = 7.662 Å
α = 90.00°, β = 90.00°, γ = 90.00°
Positions (direct):
Hf: 0.000 0.000 0.803
Hf: 0.000 0.000 0.197
V: 0.500 0.500 0.000
Er: 0.500 0.500 0.500

***

Quick one: least stable of them? #i